Computed, not measured: CaTe2Pd at its PBEsol-relaxed geometry at the meta-GGA SCAN level of DFT.

abc: 5.0971 5.0971 5.0971
angles: 60.00 60.00 60.00
Closest atoms and distances in Å follow each position.
Sites, in units of the cell vectors:
Ca 0.0000 0.0000 0.0000  8 Te 3.12
Te 0.2500 0.2500 0.2500  4 Pd 3.12, 4 Ca 3.12
Te 0.7500 0.7500 0.7500  4 Pd 3.12, 4 Ca 3.12
Pd 0.5000 0.5000 0.5000  8 Te 3.12

Summary:
Fermi-level density of states: 4.56 states/eV per cell
Raw formation energy: -0.520 eV/atom
Space-group type: No. 225

Computed, not measured: Ti2Cu9B6O22 at its PBEsol-relaxed geometry at the meta-GGA SCAN level of DFT.

abc: 7.2871 10.6277 11.4214
angles: 103.56 96.63 91.84
Closest atoms and distances in Å follow each position.
Sites, in units of the cell vectors:
Ti 0.8795 0.9137 0.0707  5 O 1.85-2.07
Ti 0.6171 0.1020 0.9531  4 O 1.85-1.95
Ti 0.3829 0.8980 0.0469  4 O 1.85-1.95
Ti 0.1205 0.0863 0.9293  5 O 1.85-2.07
Cu 0.9527 0.2126 0.6916  4 O 1.88-2.08
Cu 0.4359 0.2192 0.7128  4 O 1.86-2.00
Cu 0.0779 0.7645 0.8709  4 O 1.93-2.03
Cu 0.8667 0.5041 0.6100  4 O 1.93-1.96
Cu 0.1870 0.3556 0.9779  4 O 1.91-1.95
Cu 0.3886 0.5012 0.6113  4 O 1.89-1.93
Cu 0.0473 0.7874 0.3084  4 O 1.88-2.08
Cu 0.2415 0.0025 0.5140  4 O 1.88-1.92
Cu 0.1333 0.4959 0.3900  4 O 1.93-1.96
Cu 0.5641 0.7808 0.2872  4 O 1.86-2.00
Cu 0.3248 0.6345 0.0091  4 O 1.93-1.97
Cu 0.9221 0.2355 0.1291  4 O 1.93-2.03
Cu 0.6752 0.3655 0.9909  4 O 1.93-1.97
Cu 0.7585 0.9975 0.4860  4 O 1.88-1.92
Cu 0.3696 0.2313 0.2043  3 O 1.86-1.95
Cu 0.6304 0.7687 0.7957  3 O 1.86-1.95
Cu 0.8130 0.6444 0.0221  4 O 1.91-1.95
Cu 0.6114 0.4988 0.3887  4 O 1.89-1.93
B 0.1890 0.2598 0.4815  3 O 1.36-1.38
B 0.4917 0.9360 0.6979  3 O 1.35-1.40
B 0.0398 0.0734 0.3146  3 O 1.35-1.38
B 0.3274 0.7452 0.5345  3 O 1.36-1.41
B 0.5793 0.4950 0.7930  3 O 1.35-1.39
B 0.4207 0.5050 0.2070  3 O 1.35-1.39
B 0.9382 0.5046 0.2098  3 O 1.36-1.39
B 0.9602 0.9266 0.6854  3 O 1.35-1.38
B 0.6726 0.2548 0.4655  3 O 1.36-1.41
B 0.5083 0.0640 0.3021  3 O 1.35-1.40
B 0.8110 0.7402 0.5185  3 O 1.36-1.38
B 0.0618 0.4954 0.7902  3 O 1.36-1.39
O 0.9290 0.0553 0.2077  1 B 1.35
O 0.8924 0.8012 0.6337  2 B 1.38
O 0.0771 0.9737 0.3693  1 B 1.37
O 0.4575 0.3960 0.7229  1 B 1.38
O 0.8036 0.6079 0.4931  1 B 1.36
O 0.6568 0.2444 0.0928  1 Ti 1.91, 2 Cu 1.94
O 0.1964 0.3921 0.5069  1 B 1.36
O 0.9593 0.3942 0.2541  1 B 1.39
O 0.2539 0.1888 0.5622  1 B 1.38
O 0.8279 0.7609 0.9186  3 Cu 1.91-1.96, 1 Ti 2.07
O 0.3689 0.0532 0.9595  2 Ti 1.86-1.88
O 0.9229 0.0263 0.6307  1 B 1.37
O 0.4513 0.8056 0.6378  2 B 1.40-1.41
O 0.2293 0.8179 0.4682  1 B 1.37
O 0.7461 0.8112 0.4378  1 B 1.38
O 0.4147 0.7796 0.1424  1 Ti 1.85, 2 Cu 1.87-1.93
O 0.5425 0.6040 0.2771  1 B 1.38
O 0.0407 0.6058 0.7459  1 B 1.39
O 0.8817 0.0810 0.9833  2 Ti 1.92-1.95, 1 Cu 2.03
O 0.1183 0.9190 0.0167  2 Ti 1.92-1.95, 1 Cu 2.03
O 0.8284 0.5075 0.1057  1 B 1.36
O 0.0498 0.6066 0.2850  1 B 1.39
O 0.9502 0.3934 0.7150  1 B 1.39
O 0.5881 0.9672 0.3441  1 B 1.35
O 0.9028 0.7860 0.1565  1 Ti 1.85, 2 Cu 1.92
O 0.5876 0.5915 0.7297  1 B 1.39
O 0.7707 0.1821 0.5317  1 B 1.37
O 0.6178 0.9522 0.7992  1 B 1.37
O 0.6836 0.3869 0.4947  1 B 1.36
O 0.1076 0.1988 0.3663  2 B 1.38
O 0.1721 0.2391 0.0814  3 Cu 1.91-1.96, 1 Ti 2.07
O 0.4124 0.4085 0.2703  1 B 1.39
O 0.6686 0.5017 0.9052  1 B 1.35
O 0.3314 0.4983 0.0948  1 B 1.35
O 0.5487 0.1944 0.3622  2 B 1.40-1.41
O 0.3164 0.6131 0.5053  1 B 1.36
O 0.3822 0.0478 0.2008  1 B 1.37
O 0.0710 0.9447 0.7923  1 B 1.35
O 0.5853 0.2204 0.8576  1 Ti 1.85, 2 Cu 1.87-1.93
O 0.3432 0.7556 0.9072  1 Ti 1.91, 2 Cu 1.94
O 0.6311 0.9468 0.0405  2 Ti 1.86-1.88
O 0.0972 0.2140 0.8435  1 Ti 1.85, 2 Cu 1.92
O 0.1716 0.4925 0.8943  1 B 1.36
O 0.4119 0.0328 0.6559  1 B 1.35

Summary:
Raw formation energy: -1.870 eV/atom
Space-group type: No. 2

Computed, not measured: AlAg3 at its PBEsol-relaxed geometry at the meta-GGA SCAN level of DFT.

abc: 4.8856 4.9145 5.6919
angles: 90.36 106.04 99.83
Closest atoms and distances in Å follow each position.
Sites, in units of the cell vectors:
Al 0.7558 0.6343 0.1949  11 Ag 2.77-2.87, 1 Al 2.95
Al 0.2442 0.3657 0.8051  11 Ag 2.77-2.87, 1 Al 2.95
Ag 0.7405 0.6197 0.6948  4 Al 2.77-2.87, 8 Ag 2.78-2.89
Ag 0.2438 0.8743 0.5613  3 Al 2.77-2.87, 9 Ag 2.79-2.90
Ag 0.7562 0.1257 0.4387  3 Al 2.77-2.87, 9 Ag 2.79-2.90
Ag 0.2595 0.3803 0.3052  4 Al 2.77-2.87, 8 Ag 2.78-2.89
Ag 0.2479 0.8656 0.0569  8 Ag 2.78-2.90, 4 Al 2.79-2.85
Ag 0.7521 0.1344 0.9431  8 Ag 2.78-2.90, 4 Al 2.79-2.85

Summary:
Fermi-level density of states: 2.27 states/eV per cell
E_form: -0.3 eV per formula unit
Space-group type: No. 2

Computed, not measured: LaTaTiO6 at its PBEsol-relaxed geometry at the meta-GGA SCAN level of DFT.

abc: 5.4190 7.5309 10.9543
angles: 90.00 90.00 90.00
Closest atoms and distances in Å follow each position.
Sites, in units of the cell vectors:
La 0.4563 0.7492 0.9577  8 O 2.45-2.55
La 0.0437 0.7492 0.4577  8 O 2.45-2.55
La 0.5437 0.2492 0.0423  8 O 2.45-2.55
La 0.9563 0.2492 0.5423  8 O 2.45-2.55
Ta 0.4602 0.5047 0.6447  5 O 1.90-2.00
Ta 0.5398 0.0047 0.3553  5 O 1.90-2.00
Ta 0.9602 0.0047 0.8553  5 O 1.90-2.00
Ta 0.0398 0.5047 0.1447  5 O 1.90-2.00
Ti 0.0376 0.9940 0.1418  5 O 1.86-1.99
Ti 0.9624 0.4940 0.8582  5 O 1.86-1.99
Ti 0.5376 0.4940 0.3582  5 O 1.86-1.99
Ti 0.4624 0.9940 0.6418  5 O 1.86-1.99
O 0.0429 0.7486 0.8560  1 Ti 1.97, 1 Ta 1.98
O 0.4571 0.7486 0.3560  1 Ti 1.97, 1 Ta 1.98
O 0.9571 0.2486 0.1440  1 Ti 1.97, 1 Ta 1.98
O 0.5429 0.2486 0.6440  1 Ti 1.97, 1 Ta 1.98
O 0.6321 0.5562 0.7917  1 Ta 1.90, 1 Ti 1.99
O 0.8721 0.9444 0.2869  1 Ti 1.86, 1 Ta 2.00
O 0.3679 0.0562 0.2083  1 Ta 1.90, 1 Ti 1.99
O 0.1279 0.4444 0.7131  1 Ti 1.86, 1 Ta 2.00
O 0.3721 0.4444 0.2131  1 Ti 1.86, 1 Ta 2.00
O 0.1321 0.0562 0.7083  1 Ta 1.90, 1 Ti 1.99
O 0.6279 0.9444 0.7869  1 Ti 1.86, 1 Ta 2.00
O 0.8679 0.5562 0.2917  1 Ta 1.90, 1 Ti 1.99
O 0.1520 0.7522 0.1237  1 Ti 1.93, 1 Ta 1.97
O 0.3480 0.7522 0.6237  1 Ti 1.93, 1 Ta 1.97
O 0.8480 0.2522 0.8763  1 Ti 1.93, 1 Ta 1.97
O 0.6520 0.2522 0.3763  1 Ti 1.93, 1 Ta 1.97
O 0.2316 0.0367 0.9726  1 Ta 1.97, 1 Ti 2.15
O 0.2732 0.4639 0.4755  1 Ti 1.94, 1 Ta 2.13
O 0.7684 0.5367 0.0274  1 Ta 1.97, 1 Ti 2.15
O 0.7268 0.9639 0.5245  1 Ti 1.94, 1 Ta 2.13
O 0.7732 0.9639 0.0245  1 Ti 1.94, 1 Ta 2.13
O 0.7316 0.5367 0.5274  1 Ta 1.97, 1 Ti 2.15
O 0.2268 0.4639 0.9755  1 Ti 1.94, 1 Ta 2.13
O 0.2684 0.0367 0.4726  1 Ta 1.97, 1 Ti 2.15

Summary:
Energy above the most stable polymorph in this dataset: 0 meV/atom
Fermi-level density of states: 0.00 states/eV per cell
Raw formation energy: -3.477 eV/atom
Space-group type: No. 33

Computed, not measured: TiSiRh3 at its PBEsol-relaxed geometry at the meta-GGA SCAN level of DFT.

abc: 4.4428 4.4428 4.4428
angles: 90.00 90.00 90.00
Closest atoms and distances in Å follow each position.
Sites, in units of the cell vectors:
Si 0.5000 0.5000 0.5000  12 Rh 3.14
Rh 0.0000 0.5000 0.0000  2 Ti 2.22
Rh 0.0000 0.0000 0.5000  2 Ti 2.22
Rh 0.5000 0.0000 0.0000  2 Ti 2.22
Ti 0.0000 0.0000 0.0000  6 Rh 2.22

Summary:
Fermi-level density of states: 3.80 states/eV per cell
Raw formation energy: 0.828 eV/atom
Space-group type: No. 221

Computed, not measured: Rb2SbBr2 at its PBEsol-relaxed geometry at the meta-GGA SCAN level of DFT.

abc: 6.6341 6.6345 6.6341
angles: 120.00 90.00 120.00
Closest atoms and distances in Å follow each position.
Sites, in units of the cell vectors:
Sb 0.0000 0.0000 0.0000  2 Br 2.86
Br 0.3046 0.6092 0.3046  1 Sb 2.86
Br 0.6954 0.3908 0.6954  1 Sb 2.86
Rb 0.2500 0.5000 0.7500  4 Br 3.36
Rb 0.7500 0.5000 0.2500  4 Br 3.36

Summary:
Fermi-level density of states: 4.96 states/eV per cell
Raw formation energy: -0.998 eV/atom
Space-group type: No. 139

Computed, not measured: Li2AgF3 at its PBEsol-relaxed geometry at the meta-GGA SCAN level of DFT.

abc: 5.2018 5.7633 5.1654
angles: 81.51 70.91 63.17
Closest atoms and distances in Å follow each position.
Sites, in units of the cell vectors:
Li 0.7457 0.5086 0.7500  6 F 2.00-2.11
Li 0.3604 0.2791 0.7500  4 F 1.87-1.88
Li 0.6396 0.7209 0.2500  4 F 1.87-1.88
Li 0.2543 0.4914 0.2500  6 F 2.00-2.11
Ag 0.9412 0.1176 0.2500  6 F 2.38-2.48
Ag 0.0588 0.8824 0.7500  6 F 2.38-2.48
F 0.6005 0.2383 0.9702  3 Li 1.87-2.07
F 0.0000 0.5000 0.0000  2 Li 1.88
F 0.1612 0.2383 0.5298  3 Li 1.87-2.07
F 0.5000 0.5000 0.5000  2 Li 1.88
F 0.8388 0.7617 0.4702  3 Li 1.87-2.07
F 0.3995 0.7617 0.0298  3 Li 1.87-2.07

Summary:
Energy above the most stable polymorph in this dataset: 58 meV/atom
Fermi-level density of states: 0.00 states/eV per cell
Raw formation energy: -2.392 eV/atom
Space-group type: No. 15

Computed, not measured: LaAl2Au2 at its PBEsol-relaxed geometry at the meta-GGA SCAN level of DFT.

abc: 4.4822 4.4822 6.0185
angles: 111.86 111.86 90.00
Closest atoms and distances in Å follow each position.
Sites, in units of the cell vectors:
Au 0.2500 0.7500 0.5000  4 Al 2.57
Au 0.7500 0.2500 0.5000  4 Al 2.57
Al 0.3734 0.3734 0.7468  4 Au 2.57, 1 Al 2.59
Al 0.6266 0.6266 0.2532  4 Au 2.57, 1 Al 2.59
La 0.0000 0.0000 0.0000  8 Au 3.40, 8 Al 3.42

Summary:
Fermi-level density of states: 2.76 states/eV per cell
E_form: -4.6 eV per formula unit
Space-group type: No. 139

Computed, not measured: Cs2UNb6Cl15O3 at its PBEsol-relaxed geometry at the meta-GGA SCAN level of DFT.

abc: 9.0670 9.0670 17.2637
angles: 90.00 90.00 120.00
Closest atoms and distances in Å follow each position.
Sites, in units of the cell vectors:
Cs 0.6667 0.3333 0.0459  9 Cl 3.52-3.67
Cs 0.3333 0.6667 0.5459  9 Cl 3.52-3.67
Cs 0.3333 0.6667 0.9541  9 Cl 3.52-3.67
Cs 0.6667 0.3333 0.4541  9 Cl 3.52-3.67
U 0.6667 0.3333 0.7500  3 O 2.23
U 0.3333 0.6667 0.2500  3 O 2.23
Nb 0.8190 0.0146 0.6831  1 O 2.01
Nb 0.9854 0.8044 0.6831  1 O 2.01
Nb 0.1956 0.1810 0.6831  1 O 2.01
Nb 0.0146 0.8190 0.1831  1 O 2.01
Nb 0.1810 0.1956 0.1831  1 O 2.01
Nb 0.8044 0.9854 0.1831  1 O 2.01
Nb 0.1810 0.9854 0.3169  1 O 2.01
Nb 0.0146 0.1956 0.3169  1 O 2.01
Nb 0.8044 0.8190 0.3169  1 O 2.01
Nb 0.9854 0.1810 0.8169  1 O 2.01
Nb 0.8190 0.8044 0.8169  1 O 2.01
Nb 0.1956 0.0146 0.8169  1 O 2.01
Cl 0.5992 0.0806 0.6195  1 Nb 2.59, 1 O 2.79
Cl 0.9194 0.5186 0.6195  1 Nb 2.59, 1 O 2.79
Cl 0.4814 0.4008 0.6195  1 Nb 2.59, 1 O 2.79
Cl 0.0806 0.5992 0.1195  1 Nb 2.59, 1 O 2.79
Cl 0.4008 0.4814 0.1195  1 Nb 2.59, 1 O 2.79
Cl 0.5186 0.9194 0.1195  1 Nb 2.59, 1 O 2.79
Cl 0.4008 0.9194 0.3805  1 Nb 2.59, 1 O 2.79
Cl 0.0806 0.4814 0.3805  1 Nb 2.59, 1 O 2.79
Cl 0.5186 0.5992 0.3805  1 Nb 2.59, 1 O 2.79
Cl 0.9194 0.4008 0.8805  1 Nb 2.59, 1 O 2.79
Cl 0.5992 0.5186 0.8805  1 Nb 2.59, 1 O 2.79
Cl 0.4814 0.0806 0.8805  1 Nb 2.59, 1 O 2.79
Cl 0.4282 0.2141 0.2500  2 Nb 2.45
Cl 0.7859 0.2141 0.2500  2 Nb 2.45
Cl 0.7859 0.5718 0.2500  2 Nb 2.45
Cl 0.2141 0.4282 0.7500  2 Nb 2.45
Cl 0.5718 0.7859 0.7500  2 Nb 2.45
Cl 0.2141 0.7859 0.7500  2 Nb 2.45
Cl 0.2206 0.0160 0.0871  2 Nb 2.47
Cl 0.9840 0.2046 0.0871  2 Nb 2.47
Cl 0.7954 0.7794 0.0871  2 Nb 2.47
Cl 0.0160 0.2206 0.5871  2 Nb 2.47
Cl 0.7794 0.7954 0.5871  2 Nb 2.47
Cl 0.2046 0.9840 0.5871  2 Nb 2.47
Cl 0.7794 0.9840 0.9129  2 Nb 2.47
Cl 0.0160 0.7954 0.9129  2 Nb 2.47
Cl 0.2046 0.2206 0.9129  2 Nb 2.47
Cl 0.9840 0.7794 0.4129  2 Nb 2.47
Cl 0.2206 0.2046 0.4129  2 Nb 2.47
Cl 0.7954 0.0160 0.4129  2 Nb 2.47
O 0.1910 0.3821 0.2500  2 Nb 2.01, 1 U 2.23
O 0.6179 0.8090 0.2500  2 Nb 2.01, 1 U 2.23
O 0.1910 0.8090 0.2500  2 Nb 2.01, 1 U 2.23
O 0.3821 0.1910 0.7500  2 Nb 2.01, 1 U 2.23
O 0.8090 0.1910 0.7500  2 Nb 2.01, 1 U 2.23
O 0.8090 0.6179 0.7500  2 Nb 2.01, 1 U 2.23

Summary:
Fermi-level density of states: 15.22 states/eV per cell
Raw formation energy: -1.873 eV/atom
Space-group type: No. 163

Question: Which formula does entry 7 have?
Answer: Li2AgF3